Model one:
DFT (PBE-GGA) results for Pm8Nd2Er after structural relaxation.

abc: 5.1514 8.1465 9.6292
angles: 104.67 105.51 90.00
Closest atoms and distances in Å follow each position.
Fractional positions:
Pm 0.5900 0.4518 0.1800  1 Er 3.62, 8 Pm 3.63-3.67, 3 Nd 3.65-3.66
Pm 0.3190 0.0906 0.6380  1 Er 3.62, 8 Pm 3.63-3.67, 3 Nd 3.64
Pm 0.1354 0.1795 0.2709  7 Pm 3.61-3.66, 2 Er 3.63, 3 Nd 3.66
Pm 0.0451 0.7288 0.0903  9 Pm 3.61-3.66, 2 Er 3.63, 1 Nd 3.64
Pm 0.8646 0.8205 0.7291  7 Pm 3.61-3.66, 2 Er 3.63, 3 Nd 3.66
Pm 0.6810 0.9094 0.3620  1 Er 3.62, 8 Pm 3.63-3.67, 3 Nd 3.64
Pm 0.4100 0.5482 0.8200  1 Er 3.62, 8 Pm 3.63-3.67, 3 Nd 3.65-3.66
Pm 0.9549 0.2712 0.9097  9 Pm 3.61-3.66, 2 Er 3.63, 1 Nd 3.64
Nd 0.2267 0.6366 0.4534  10 Pm 3.64-3.66, 2 Nd 3.65
Nd 0.7733 0.3634 0.5466  10 Pm 3.64-3.66, 2 Nd 3.65
Er 0.5000 0.0000 0.0000  12 Pm 3.62-3.63

---

Model two:
DFT (PBE-GGA) results for Pm8Nd2Er after structural relaxation.

abc: 5.7540 10.2370 10.2370
angles: 40.61 93.64 93.64
Closest atoms and distances in Å follow each position.
Fractional positions:
Pm 0.2693 0.1359 0.6095  6 Pm 3.37-3.74, 1 Er 3.52, 2 Nd 3.53-3.71
Pm 0.2693 0.6095 0.1359  6 Pm 3.37-3.74, 1 Er 3.52, 2 Nd 3.53-3.71
Pm 0.7307 0.8641 0.3905  6 Pm 3.37-3.74, 1 Er 3.52, 2 Nd 3.53-3.71
Pm 0.2341 0.5447 0.5447  1 Pm 3.10, 1 Nd 3.29
Pm 0.7307 0.3905 0.8641  6 Pm 3.37-3.74, 1 Er 3.52, 2 Nd 3.53-3.71
Pm 0.2275 0.1855 0.1855  4 Nd 3.40-3.60, 4 Pm 3.53-3.68, 1 Er 3.71
Pm 0.7725 0.8145 0.8145  4 Nd 3.40-3.60, 4 Pm 3.53-3.68, 1 Er 3.71
Pm 0.7659 0.4553 0.4553  1 Pm 3.10, 1 Nd 3.29
Nd 0.7413 0.2836 0.2836  7 Pm 3.29-3.60
Nd 0.2587 0.7164 0.7164  7 Pm 3.29-3.60
Er 0.0000 0.0000 0.0000  10 Pm 3.52-3.88

---

Q: What are the energies relative to the best structure? A: model one 0.0; model two 14.4, in kJ/mol of atoms.

---

Model one:
DFT (PBE-GGA) results for Pm2Nd7Er3 after structural relaxation.

abc: 5.5156 6.2498 12.5313
angles: 90.28 90.00 90.00
Closest atoms and distances in Å follow each position.
Fractional positions:
Pm 0.5000 0.6023 0.2790  6 Nd 3.16-3.52
Pm 0.5000 0.3977 0.7210  6 Nd 3.16-3.52
Nd 0.5000 0.2408 0.4546  2 Pm 3.16-3.47, 2 Nd 3.22-3.43
Nd 0.5000 0.7592 0.5454  2 Pm 3.16-3.47, 2 Nd 3.22-3.43
Nd 0.0000 0.4434 0.1808  2 Pm 3.18
Nd 0.0000 0.0000 0.0000  6 Nd 3.53-3.57
Nd 0.0000 0.5566 0.8192  2 Pm 3.18
Nd 0.5000 0.9191 0.8292  2 Pm 3.29-3.52, 3 Er 3.39-3.64, 4 Nd 3.53-3.57
Nd 0.5000 0.0809 0.1708  2 Pm 3.29-3.52, 3 Er 3.39-3.64, 4 Nd 3.53-3.57
Er 0.5000 0.5000 0.0000  6 Nd 3.39-3.59, 2 Pm 3.55
Er 0.0000 0.9354 0.3451  2 Pm 3.55, 8 Nd 3.62-3.89, 1 Er 3.96
Er 0.0000 0.0646 0.6549  2 Pm 3.55, 8 Nd 3.62-3.89, 1 Er 3.96

---

Model two:
DFT (PBE-GGA) results for Pm2Nd7Er3 after structural relaxation.

abc: 3.6460 5.9062 19.1255
angles: 93.83 90.00 90.00
Closest atoms and distances in Å follow each position.
Fractional positions:
Pm 0.5000 0.7022 0.2978  3 Nd 3.18-3.46
Pm 0.5000 0.2978 0.7022  3 Nd 3.18-3.46
Nd 0.5000 0.7414 0.4645  1 Pm 3.18, 2 Nd 3.24-3.26
Nd 0.5000 0.2586 0.5355  1 Pm 3.18, 2 Nd 3.24-3.26
Nd 0.0000 0.6705 0.1439  2 Er 3.40, 2 Pm 3.46, 7 Nd 3.48-3.65
Nd 0.0000 0.0000 0.0000  4 Er 3.47, 4 Nd 3.48-3.65
Nd 0.0000 0.3295 0.8561  2 Er 3.40, 2 Pm 3.46, 7 Nd 3.48-3.65
Nd 0.5000 0.8265 0.8190  6 Nd 3.52-3.65, 2 Pm 3.68-3.72
Nd 0.5000 0.1735 0.1810  6 Nd 3.52-3.65, 2 Pm 3.68-3.72
Er 0.5000 0.5000 0.0000  8 Nd 3.40-3.47, 2 Er 3.65
Er 0.0000 0.2154 0.3688  2 Er 3.65, 8 Nd 3.67-4.02, 4 Pm 3.72-3.74
Er 0.0000 0.7846 0.6312  2 Er 3.65, 8 Nd 3.67-4.02, 4 Pm 3.72-3.74

---

Q: What are the energies relative to the best structure? A: model one 19.1; model two 0.0, in kJ/mol of atoms.

---

Model one:
DFT (PBE-GGA) results for Pm2Nd7Er2 after structural relaxation.

abc: 6.1289 8.1934 8.1934
angles: 89.70 74.49 74.49
Closest atoms and distances in Å follow each position.
Fractional positions:
Pm 0.5974 0.7731 0.7731  7 Nd 3.42-3.76, 2 Er 3.53
Pm 0.4026 0.2269 0.2269  7 Nd 3.42-3.76, 2 Er 3.53
Nd 0.1787 0.0472 0.5882  2 Nd 3.18-3.31, 2 Er 3.40-3.52, 1 Pm 3.42
Nd 0.8213 0.4118 0.9528  2 Nd 3.18-3.31, 2 Er 3.40-3.52, 1 Pm 3.42
Nd 0.8213 0.9528 0.4118  2 Nd 3.18-3.31, 2 Er 3.40-3.52, 1 Pm 3.42
Nd 0.1787 0.5882 0.0472  2 Nd 3.18-3.31, 2 Er 3.40-3.52, 1 Pm 3.42
Nd 0.0000 0.0000 0.0000  4 Nd 3.31, 2 Pm 3.62
Nd 0.7996 0.4247 0.4247  4 Nd 3.42-3.81, 2 Pm 3.54-3.76, 2 Er 3.69
Nd 0.2004 0.5753 0.5753  4 Nd 3.42-3.81, 2 Pm 3.54-3.76, 2 Er 3.69
Er 0.5000 0.7825 0.2175  6 Nd 3.40-3.69, 2 Pm 3.53
Er 0.5000 0.2175 0.7825  6 Nd 3.40-3.69, 2 Pm 3.53

---

Model two:
DFT (PBE-GGA) results for Pm2Nd7Er2 after structural relaxation.

abc: 10.1689 6.3783 6.3783
angles: 113.08 91.33 91.33
Closest atoms and distances in Å follow each position.
Fractional positions:
Pm 0.7058 0.2901 0.2901  8 Nd 3.40-3.78, 2 Er 3.57
Pm 0.2942 0.7099 0.7099  8 Nd 3.40-3.78, 2 Er 3.57
Nd 0.1492 0.1761 0.5830  7 Nd 3.41-3.71, 2 Pm 3.46-3.70, 1 Er 3.64
Nd 0.8508 0.4170 0.8239  7 Nd 3.41-3.71, 2 Pm 3.46-3.70, 1 Er 3.64
Nd 0.8508 0.8239 0.4170  7 Nd 3.41-3.71, 2 Pm 3.46-3.70, 1 Er 3.64
Nd 0.1492 0.5830 0.1761  7 Nd 3.41-3.71, 2 Pm 3.46-3.70, 1 Er 3.64
Nd 0.0000 0.0000 0.0000  10 Nd 3.62-3.89, 2 Pm 3.69
Nd 0.6348 0.8131 0.8131  3 Pm 3.40-3.78, 2 Nd 3.41, 4 Er 3.48-3.52
Nd 0.3652 0.1869 0.1869  3 Pm 3.40-3.78, 2 Nd 3.41, 4 Er 3.48-3.52
Er 0.5000 0.2713 0.7287  6 Nd 3.48-3.64, 2 Er 3.55, 2 Pm 3.57
Er 0.5000 0.7287 0.2713  6 Nd 3.48-3.64, 2 Er 3.55, 2 Pm 3.57

---

Q: What are the energies relative to the best structure? A: model one 3.7; model two 0.0, in kJ/mol of atoms.

---

Model one:
DFT (PBE-GGA) results for Pm3Nd2Er4 after structural relaxation.

abc: 6.2019 6.2019 10.7786
angles: 106.47 106.47 48.45
Closest atoms and distances in Å follow each position.
Fractional positions:
Pm 0.6669 0.6669 0.5574  6 Er 3.57-3.61, 3 Pm 3.59-3.60, 3 Nd 3.60-3.63
Pm 0.0000 0.0000 0.0000  8 Er 3.58-3.60, 4 Nd 3.59
Pm 0.3331 0.3331 0.4426  6 Er 3.57-3.61, 3 Pm 3.59-3.60, 3 Nd 3.60-3.63
Nd 0.6658 0.6658 0.2201  7 Er 3.57-3.60, 5 Pm 3.59-3.63
Nd 0.3342 0.3342 0.7799  7 Er 3.57-3.60, 5 Pm 3.59-3.63
Er 0.3338 0.3338 0.1114  4 Nd 3.57-3.58, 4 Pm 3.57-3.59, 4 Er 3.60-3.61
Er 0.9999 0.9999 0.6659  6 Pm 3.58-3.61, 3 Er 3.58-3.60, 3 Nd 3.60
Er 0.0001 0.0001 0.3341  6 Pm 3.58-3.61, 3 Er 3.58-3.60, 3 Nd 3.60
Er 0.6662 0.6662 0.8886  4 Nd 3.57-3.58, 4 Pm 3.57-3.59, 4 Er 3.60-3.61

---

Model two:
DFT (PBE-GGA) results for Pm3Nd2Er4 after structural relaxation.

abc: 6.1263 11.3040 11.3040
angles: 62.32 63.20 63.20
Closest atoms and distances in Å follow each position.
Fractional positions:
Pm 0.7637 0.0151 0.3106  1 Nd 3.35, 8 Er 3.40-3.69
Pm 0.7363 0.6894 0.9849  1 Nd 3.35, 8 Er 3.40-3.69
Pm 0.2363 0.9849 0.6894  1 Nd 3.35, 8 Er 3.40-3.69
Pm 0.2637 0.3106 0.0151  1 Nd 3.35, 8 Er 3.40-3.69
Pm 0.2500 0.6415 0.3585  4 Er 3.48-3.85, 6 Nd 3.54-3.58, 2 Pm 3.87
Pm 0.7500 0.3585 0.6415  4 Er 3.48-3.85, 6 Nd 3.54-3.58, 2 Pm 3.87
Nd 0.4357 0.2693 0.5125  4 Pm 3.35-3.58, 3 Er 3.43-3.51, 1 Nd 3.59
Nd 0.0643 0.4875 0.7307  4 Pm 3.35-3.58, 3 Er 3.43-3.51, 1 Nd 3.59
Nd 0.5643 0.7307 0.4875  4 Pm 3.35-3.58, 3 Er 3.43-3.51, 1 Nd 3.59
Nd 0.9357 0.5125 0.2693  4 Pm 3.35-3.58, 3 Er 3.43-3.51, 1 Nd 3.59
Er 0.4231 0.9481 0.1707  3 Er 3.27-3.42, 4 Pm 3.46-3.60, 1 Nd 3.51
Er 0.0769 0.8293 0.0519  3 Er 3.27-3.42, 4 Pm 3.46-3.60, 1 Nd 3.51
Er 0.5769 0.0519 0.8293  3 Er 3.27-3.42, 4 Pm 3.46-3.60, 1 Nd 3.51
Er 0.9231 0.1707 0.9481  3 Er 3.27-3.42, 4 Pm 3.46-3.60, 1 Nd 3.51
Er 0.0996 0.1541 0.3807  4 Pm 3.40-3.59, 2 Er 3.42-3.61, 2 Nd 3.43-3.47
Er 0.4004 0.6193 0.8459  4 Pm 3.40-3.59, 2 Er 3.42-3.61, 2 Nd 3.43-3.47
Er 0.9004 0.8459 0.6193  4 Pm 3.40-3.59, 2 Er 3.42-3.61, 2 Nd 3.43-3.47
Er 0.5996 0.3807 0.1541  4 Pm 3.40-3.59, 2 Er 3.42-3.61, 2 Nd 3.43-3.47

---

Q: What are the energies relative to the best structure? A: model one 0.0; model two 7.5, in kJ/mol of atoms.